## i
NdDy2Er7: relaxed, PBE.

a = 9.1626 Å, b = 9.1626 Å, c = 5.5387 Å
α = 90.00°, β = 90.00°, γ = 123.55°
Sites, in units of the cell vectors:
1 Nd 0.0000 0.0000 0.0000
2 Dy 0.2970 0.7030 0.5000
3 Dy 0.7030 0.2970 0.5000
4 Er 0.0621 0.2909 0.5000
5 Er 0.2131 0.7869 0.0000
6 Er 0.2909 0.0621 0.5000
7 Er 0.5000 0.5000 0.5000
8 Er 0.7091 0.9379 0.5000
9 Er 0.7869 0.2131 0.0000
10 Er 0.9379 0.7091 0.5000



## ii
NdDy2Er7: relaxed, PBE.

a = 6.1132 Å, b = 7.0537 Å, c = 7.8891 Å
α = 77.08°, β = 75.07°, γ = 73.19°
Sites, in units of the cell vectors:
1 Nd 0.0000 0.0000 0.0000
2 Dy 0.1999 0.3006 0.5996
3 Dy 0.8001 0.6994 0.4004
4 Er 0.0000 0.5000 0.0000
5 Er 0.2007 0.7994 0.5994
6 Er 0.3999 0.1002 0.2007
7 Er 0.4010 0.5988 0.2011
8 Er 0.5990 0.4012 0.7989
9 Er 0.6001 0.8998 0.7993
10 Er 0.7993 0.2006 0.4006



Top of the stability list: ii, leading by 690 meV/atom.



## i
Nd7Dy4Er: relaxed, PBE.

a = 6.3269 Å, b = 7.2934 Å, c = 9.0030 Å
α = 89.97°, β = 76.49°, γ = 89.99°
Sites, in units of the cell vectors:
1 Nd 0.0000 0.0000 0.0000
2 Nd 0.2213 0.5000 0.3345
3 Nd 0.2792 0.7509 0.6664
4 Nd 0.4988 0.2484 0.9987
5 Nd 0.5012 0.7516 0.0013
6 Nd 0.7208 0.2491 0.3336
7 Nd 0.7787 0.5000 0.6655
8 Dy 0.2207 0.9997 0.3353
9 Dy 0.2775 0.2481 0.6679
10 Dy 0.7225 0.7519 0.3321
11 Dy 0.7793 0.0003 0.6647
12 Er 0.0000 0.5000 0.0000



## ii
Nd7Dy4Er: relaxed, PBE.

a = 8.6470 Å, b = 8.6470 Å, c = 9.4110 Å
α = 114.36°, β = 114.36°, γ = 40.66°
Sites, in units of the cell vectors:
1 Nd 0.0000 0.0000 0.0000
2 Nd 0.2902 0.2902 0.1195
3 Nd 0.2906 0.2906 0.7687
4 Nd 0.4165 0.4165 0.5565
5 Nd 0.5835 0.5835 0.4435
6 Nd 0.7094 0.7094 0.2313
7 Nd 0.7098 0.7098 0.8805
8 Dy 0.0716 0.0716 0.6974
9 Dy 0.1721 0.1721 0.3879
10 Dy 0.8279 0.8279 0.6121
11 Dy 0.9284 0.9284 0.3026
12 Er 0.5000 0.5000 0.0000



Top of the stability list: i, leading by 211 meV/atom.



## i
Nd7DyEr12: relaxed, PBE.

a = 8.7603 Å, b = 8.7603 Å, c = 8.7603 Å
α = 85.89°, β = 85.89°, γ = 85.89°
Sites, in units of the cell vectors:
1 Nd 0.0000 0.0000 0.0000
2 Nd 0.1014 0.3439 0.4208
3 Nd 0.3439 0.4208 0.1014
4 Nd 0.4208 0.1014 0.3439
5 Nd 0.5792 0.8986 0.6561
6 Nd 0.6561 0.5792 0.8986
7 Nd 0.8986 0.6561 0.5792
8 Dy 0.5000 0.5000 0.5000
9 Er 0.0029 0.3650 0.8831
10 Er 0.1169 0.9971 0.6350
11 Er 0.2273 0.7532 0.3551
12 Er 0.2468 0.6449 0.7727
13 Er 0.3551 0.2273 0.7532
14 Er 0.3650 0.8831 0.0029
15 Er 0.6350 0.1169 0.9971
16 Er 0.6449 0.7727 0.2468
17 Er 0.7532 0.3551 0.2273
18 Er 0.7727 0.2468 0.6449
19 Er 0.8831 0.0029 0.3650
20 Er 0.9971 0.6350 0.1169



## ii
Nd7DyEr12: relaxed, PBE.

a = 9.7483 Å, b = 9.7483 Å, c = 9.7483 Å
α = 109.47°, β = 109.47°, γ = 109.47°
Sites, in units of the cell vectors:
1 Nd 0.0000 0.0000 0.5000
2 Nd 0.0000 0.5000 0.0000
3 Nd 0.0000 0.5000 0.5000
4 Nd 0.5000 0.0000 0.0000
5 Nd 0.5000 0.0000 0.5000
6 Nd 0.5000 0.5000 0.0000
7 Nd 0.5000 0.5000 0.5000
8 Dy 0.0000 0.0000 0.0000
9 Er 0.0000 0.2464 0.7536
10 Er 0.0000 0.7536 0.2464
11 Er 0.2464 0.0000 0.7536
12 Er 0.2464 0.2464 0.4928
13 Er 0.2464 0.4928 0.2464
14 Er 0.2464 0.7536 0.0000
15 Er 0.4928 0.2464 0.2464
16 Er 0.5072 0.7536 0.7536
17 Er 0.7536 0.0000 0.2464
18 Er 0.7536 0.2464 0.0000
19 Er 0.7536 0.5072 0.7536
20 Er 0.7536 0.7536 0.5072



Top of the stability list: i, leading by 424 meV/atom.



## i
Nd3Dy4Er5: relaxed, PBE.

a = 6.1642 Å, b = 7.1211 Å, c = 8.7179 Å
α = 89.97°, β = 89.85°, γ = 89.80°
Sites, in units of the cell vectors:
1 Nd 0.0000 0.0000 0.0000
2 Nd 0.1666 0.2505 0.3337
3 Nd 0.8334 0.7495 0.6663
4 Dy 0.1687 0.7490 0.3329
5 Dy 0.3332 0.4997 0.6681
6 Dy 0.6668 0.5003 0.3319
7 Dy 0.8313 0.2510 0.6671
8 Er 0.0000 0.5000 0.0000
9 Er 0.3353 0.0002 0.6679
10 Er 0.4989 0.7490 0.0001
11 Er 0.5011 0.2510 0.9999
12 Er 0.6647 0.9998 0.3321



## ii
Nd3Dy4Er5: relaxed, PBE.

a = 9.4554 Å, b = 9.4554 Å, c = 8.6187 Å
α = 115.54°, β = 115.54°, γ = 35.10°
Sites, in units of the cell vectors:
1 Nd 0.0000 0.0000 0.0000
2 Nd 0.3147 0.3147 0.7832
3 Nd 0.6853 0.6853 0.2168
4 Dy 0.2956 0.2956 0.3444
5 Dy 0.4690 0.4690 0.3073
6 Dy 0.5310 0.5310 0.6927
7 Dy 0.7044 0.7044 0.6556
8 Er 0.1034 0.1034 0.4349
9 Er 0.1551 0.1551 0.8809
10 Er 0.5000 0.5000 0.0000
11 Er 0.8449 0.8449 0.1191
12 Er 0.8966 0.8966 0.5651



Top of the stability list: i, leading by 266 meV/atom.